A relaxed MnNiAsO6 crystal, computed with PBE+U.

Cell and atoms, written as POSCAR:
```
MnNiAsO6
1.0
4.928 0.000 0.000
-2.464 4.268 0.000
0.000 0.000 8.688
Mn Ni As O
2 2 2 12
Direct
0.333 0.667 0.250 Mn
0.667 0.333 0.750 Mn
0.000 0.000 0.000 Ni
0.000 0.000 0.500 Ni
0.333 0.667 0.750 As
0.667 0.333 0.250 As
0.010 0.360 0.633 O
0.010 0.649 0.867 O
0.351 0.360 0.867 O
0.351 0.990 0.633 O
0.360 0.010 0.133 O
0.360 0.351 0.367 O
0.640 0.649 0.633 O
0.640 0.990 0.867 O
0.649 0.010 0.367 O
0.649 0.640 0.133 O
0.990 0.351 0.133 O
0.990 0.640 0.367 O
```

- raw total energy (eV per atom) = -6.03
- spin magnetization (Bohr magnetons per cell) = 7.98
- space-group type = P-31c (163)
- crystal system = trigonal